# 1
! VP2Cl7O4, PBEsol geometry, DFT SCAN; values from VASP
&SYSTEM
  ibrav = 0, nat = 28, ntyp = 4
/
ATOMIC_SPECIES
V 50.94 V.upf
P 30.97 P.upf
Cl 35.45 Cl.upf
O 16.00 O.upf
CELL_PARAMETERS angstrom
8.161 -0.182 -0.139
-2.429 8.052 -0.022
-2.550 -1.087 10.063
ATOMIC_POSITIONS crystal
V 0.399 0.349 0.195
V 0.601 0.651 0.805
P 0.335 0.645 0.001
P 0.203 0.255 0.683
P 0.797 0.745 0.317
P 0.665 0.355 0.999
Cl 0.584 0.254 0.341
Cl 0.999 0.684 0.431
Cl 0.631 0.164 0.866
Cl 0.001 0.316 0.569
Cl 0.369 0.836 0.134
Cl 0.282 0.135 0.556
Cl 0.107 0.627 0.863
Cl 0.893 0.373 0.137
Cl 0.334 0.484 0.349
Cl 0.910 0.919 0.214
Cl 0.666 0.516 0.651
Cl 0.718 0.865 0.444
Cl 0.090 0.081 0.786
Cl 0.416 0.746 0.659
O 0.698 0.516 0.937
O 0.491 0.699 0.942
O 0.652 0.600 0.231
O 0.773 0.814 0.846
O 0.227 0.186 0.154
O 0.348 0.400 0.769
O 0.302 0.484 0.063
O 0.509 0.301 0.058
! SG: No. 2
! calculated density: 2.16 g cm⁻³
! energy relative to the elements, uncorrected: -1518 meV per atom
! total energy: -140.30 eV per formula unit


# 2
! CuRhCl2, PBEsol geometry, DFT SCAN; values from VASP
&SYSTEM
  ibrav = 0, nat = 4, ntyp = 3
/
ATOMIC_SPECIES
Rh 102.91 Rh.upf
Cu 63.55 Cu.upf
Cl 35.45 Cl.upf
CELL_PARAMETERS angstrom
3.409 0.000 0.000
1.704 2.952 0.000
1.704 0.984 7.023
ATOMIC_POSITIONS crystal
Rh 0.248 0.248 0.256
Cu 0.505 0.505 0.486
Cl 0.970 0.970 0.089
Cl 0.777 0.777 0.669
! offset from the most stable computed form: 0.000 eV per atom
! SG: No. 160
! calculated density: 5.58 g cm⁻³
! energy relative to the elements, uncorrected: -289 meV per atom
! total energy: -66.08 eV per formula unit


# 3
! CuP4Ru2O14, PBEsol geometry, DFT SCAN; values from VASP
&SYSTEM
  ibrav = 0, nat = 21, ntyp = 4
/
ATOMIC_SPECIES
Cu 63.55 Cu.upf
P 30.97 P.upf
Ru 101.07 Ru.upf
O 16.00 O.upf
CELL_PARAMETERS angstrom
4.819 -0.019 -0.004
-1.937 6.413 0.028
-0.298 -0.459 8.190
ATOMIC_POSITIONS crystal
Cu 0.000 0.000 0.500
P 0.390 0.751 0.812
P 0.610 0.249 0.188
P 0.024 0.658 0.269
P 0.976 0.342 0.731
Ru 0.500 0.500 0.500
Ru 0.000 0.000 0.000
O 0.150 0.843 0.167
O 0.850 0.157 0.833
O 0.484 0.753 0.634
O 0.516 0.247 0.366
O 0.206 0.513 0.845
O 0.794 0.487 0.155
O 0.186 0.888 0.823
O 0.814 0.112 0.177
O 0.254 0.561 0.326
O 0.746 0.439 0.674
O 0.629 0.783 0.945
O 0.371 0.217 0.055
O 0.148 0.280 0.587
O 0.852 0.720 0.413
! SG: No. 2
! calculated density: 4.03 g cm⁻³
! energy relative to the elements, uncorrected: -1899 meV per atom
! total energy: -253.56 eV per formula unit


# 4
! Zn2PbAu2, PBEsol geometry, DFT SCAN; values from VASP
&SYSTEM
  ibrav = 0, nat = 5, ntyp = 3
/
ATOMIC_SPECIES
Pb 207.20 Pb.upf
Zn 65.41 Zn.upf
Au 196.97 Au.upf
CELL_PARAMETERS angstrom
-0.719 -0.021 3.978
-2.663 -3.001 -0.497
5.971 -2.413 -0.987
ATOMIC_POSITIONS crystal
Pb 0.000 0.000 0.000
Zn 0.395 0.395 0.790
Zn 0.605 0.605 0.210
Au 0.250 0.750 0.500
Au 0.750 0.250 0.500
! offset from the most stable computed form: 0.116 eV per atom
! SG: No. 139
! calculated density: 12.70 g cm⁻³
! total energy: -241.46 eV per formula unit
! formation energy: -0.0677 eV per atom


# 5
! ScAu4, PBEsol geometry, DFT SCAN; values from VASP
&SYSTEM
  ibrav = 0, nat = 5, ntyp = 2
/
ATOMIC_SPECIES
Sc 44.96 Sc.upf
Au 196.97 Au.upf
CELL_PARAMETERS angstrom
4.027 0.000 0.000
2.014 4.617 0.000
2.014 0.000 4.617
ATOMIC_POSITIONS crystal
Sc 0.000 0.000 0.000
Au 0.798 0.600 0.804
Au 0.202 0.400 0.196
Au 0.602 0.196 0.600
Au 0.398 0.804 0.400
! SG: No. 87
! calculated density: 16.11 g cm⁻³
! total energy: -294.26 eV per formula unit
! formation energy: -0.6784 eV per atom


# 6
! Te2Ru, PBEsol geometry, DFT SCAN; values from VASP
&SYSTEM
  ibrav = 0, nat = 12, ntyp = 2
/
ATOMIC_SPECIES
Ru 101.07 Ru.upf
Te 127.60 Te.upf
CELL_PARAMETERS angstrom
-2.716 -5.579 1.451
-1.003 -1.122 -6.192
5.676 -2.868 -0.400
ATOMIC_POSITIONS crystal
Ru 0.000 0.000 0.000
Ru 0.500 0.000 0.500
Ru 0.000 0.500 0.500
Ru 0.500 0.500 0.000
Te 0.372 0.372 0.372
Te 0.128 0.628 0.872
Te 0.628 0.872 0.128
Te 0.872 0.128 0.628
Te 0.628 0.628 0.628
Te 0.872 0.372 0.128
Te 0.372 0.128 0.872
Te 0.128 0.872 0.372
! SG: No. 205
! calculated density: 9.15 g cm⁻³
! energy relative to the elements, uncorrected: -431 meV per atom
! total energy: -110.62 eV per formula unit


# 7
! CsMn2S2, PBEsol geometry, DFT SCAN; values from VASP
&SYSTEM
  ibrav = 0, nat = 5, ntyp = 3
/
ATOMIC_SPECIES
Cs 132.91 Cs.upf
S 32.06 S.upf
Mn 54.94 Mn.upf
CELL_PARAMETERS angstrom
-0.240 2.677 -2.467
-0.565 -2.470 -2.625
-6.499 0.297 3.653
ATOMIC_POSITIONS crystal
Cs 0.000 0.000 0.000
S 0.337 0.337 0.675
S 0.663 0.663 0.325
Mn 0.250 0.750 0.500
Mn 0.750 0.250 0.500
! SG: No. 139
! calculated density: 5.47 g cm⁻³
! energy relative to the elements, uncorrected: -754 meV per atom
! total energy: -97.34 eV per formula unit


# 8
! Ba2MnAs2O8, PBEsol geometry, DFT SCAN; values from VASP
&SYSTEM
  ibrav = 0, nat = 52, ntyp = 4
/
ATOMIC_SPECIES
Ba 137.33 Ba.upf
Mn 54.94 Mn.upf
As 74.92 As.upf
O 16.00 O.upf
CELL_PARAMETERS angstrom
-5.157 1.157 1.461
2.293 -1.011 8.895
3.772 16.147 0.864
ATOMIC_POSITIONS crystal
Ba 0.248 0.838 0.231
Ba 0.286 0.198 0.022
Ba 0.748 0.662 0.731
Ba 0.252 0.338 0.269
Ba 0.752 0.162 0.769
Ba 0.214 0.698 0.478
Ba 0.714 0.802 0.978
Ba 0.786 0.302 0.522
Mn 0.762 0.471 0.137
Mn 0.238 0.529 0.863
Mn 0.738 0.971 0.363
Mn 0.262 0.029 0.637
As 0.246 0.898 0.836
As 0.254 0.398 0.664
As 0.248 0.598 0.076
As 0.748 0.902 0.576
As 0.252 0.098 0.424
As 0.752 0.402 0.924
As 0.754 0.102 0.164
As 0.746 0.602 0.336
O 0.472 0.223 0.402
O 0.158 0.472 0.576
O 0.342 0.972 0.924
O 0.357 0.998 0.756
O 0.172 0.109 0.524
O 0.865 0.567 0.893
O 0.328 0.609 0.976
O 0.135 0.433 0.107
O 0.672 0.391 0.024
O 0.879 0.770 0.328
O 0.999 0.139 0.367
O 0.433 0.611 0.332
O 0.067 0.111 0.168
O 0.028 0.723 0.098
O 0.857 0.502 0.256
O 0.501 0.639 0.133
O 0.842 0.528 0.424
O 0.567 0.389 0.668
O 0.621 0.270 0.172
O 0.121 0.230 0.672
O 0.972 0.277 0.902
O 0.643 0.002 0.244
O 0.828 0.891 0.476
O 0.499 0.361 0.867
O 0.379 0.730 0.828
O 0.143 0.498 0.744
O 0.658 0.028 0.076
O 0.635 0.067 0.607
O 0.933 0.889 0.832
O 0.528 0.777 0.598
O 0.365 0.933 0.393
O 0.001 0.861 0.633
! SG: No. 14
! calculated density: 4.80 g cm⁻³
! energy relative to the elements, uncorrected: -2248 meV per atom
! total energy: -216.80 eV per formula unit